Entry 1:
Pm5Nd2Ho4: relaxed, PBE.

Lattice parameters (Å, degrees): 9.2290 9.2290 12.1768 107.09 107.09 22.42
Last column: nearest neighbours and their distance in Å.
Element x y z (fractional)
Pm 0.0000 0.0000 0.0000  6 Pm 3.47-3.59, 4 Ho 3.52
Pm 0.3338 0.3338 0.9871  4 Ho 3.35-3.62, 6 Pm 3.47-3.62
Pm 0.3906 0.3906 0.4831  3 Ho 3.31-3.43, 2 Pm 3.59
Pm 0.6094 0.6094 0.5169  3 Ho 3.31-3.43, 2 Pm 3.59
Pm 0.6662 0.6662 0.0129  4 Ho 3.35-3.62, 6 Pm 3.47-3.62
Nd 0.1790 0.1790 0.2965  4 Ho 3.56-3.65, 2 Nd 3.59, 5 Pm 3.75-3.84
Nd 0.8210 0.8210 0.7035  4 Ho 3.56-3.65, 2 Nd 3.59, 5 Pm 3.75-3.84
Ho 0.1693 0.1693 0.7685  5 Pm 3.35-3.49, 4 Ho 3.45-3.59, 2 Nd 3.56
Ho 0.4964 0.4964 0.2466  4 Pm 3.31-3.62, 4 Ho 3.45-3.59, 2 Nd 3.65
Ho 0.5036 0.5036 0.7534  4 Pm 3.31-3.62, 4 Ho 3.45-3.59, 2 Nd 3.65
Ho 0.8307 0.8307 0.2315  5 Pm 3.35-3.49, 4 Ho 3.45-3.59, 2 Nd 3.56

Properties
Size of the total moment   0.00 μB/f.u.
ΔE to the lowest computed polymorph   0.000 eV/atom
Calculated formation energy   1.55 eV per formula unit



Entry 2:
Pm6Nd3Ho2: relaxed, PBE.

Lattice parameters (Å, degrees): 32.7193 32.7193 32.7193 6.37 6.37 6.37
Last column: nearest neighbours and their distance in Å.
Element x y z (fractional)
Pm 0.0921 0.0921 0.0921  3 Ho 3.58, 6 Pm 3.63, 3 Nd 3.68
Pm 0.1820 0.1820 0.1820  3 Ho 3.58, 9 Pm 3.63-3.67
Pm 0.3640 0.3640 0.3640  6 Pm 3.63, 6 Nd 3.66
Pm 0.6360 0.6360 0.6360  6 Pm 3.63, 6 Nd 3.66
Pm 0.8180 0.8180 0.8180  3 Ho 3.58, 9 Pm 3.63-3.67
Pm 0.9079 0.9079 0.9079  3 Ho 3.58, 6 Pm 3.63, 3 Nd 3.68
Nd 0.0000 0.0000 0.0000  6 Nd 3.63, 6 Pm 3.66
Nd 0.2721 0.2721 0.2721  6 Nd 3.63, 6 Pm 3.66-3.68
Nd 0.7279 0.7279 0.7279  6 Nd 3.63, 6 Pm 3.66-3.68
Ho 0.4550 0.4550 0.4550  6 Pm 3.58, 6 Ho 3.63
Ho 0.5450 0.5450 0.5450  6 Pm 3.58, 6 Ho 3.63

Properties
Size of the total moment   0.00 μB/f.u.
ΔE to the lowest computed polymorph   0.000 eV/atom
Calculated formation energy   0.16 eV per formula unit



Entry 3:
Pm8Nd2Ho3: relaxed, PBE.

Lattice parameters (Å, degrees): 11.0530 11.0530 5.6862 90.01 90.01 40.79
Last column: nearest neighbours and their distance in Å.
Element x y z (fractional)
Pm 0.1019 0.6902 0.9999  1 Ho 3.13, 1 Pm 3.17
Pm 0.1687 0.1687 0.5004  2 Nd 3.41, 4 Pm 3.52
Pm 0.3098 0.8981 0.0001  1 Ho 3.13, 1 Pm 3.17
Pm 0.3704 0.3704 0.5002  2 Ho 3.47, 2 Nd 3.65, 4 Pm 3.67-3.68
Pm 0.6296 0.6296 0.4998  2 Ho 3.47, 2 Nd 3.65, 4 Pm 3.67-3.68
Pm 0.6902 0.1019 0.9999  1 Ho 3.13, 1 Pm 3.17
Pm 0.8313 0.8313 0.4996  2 Nd 3.41, 4 Pm 3.52
Pm 0.8981 0.3098 0.0001  1 Ho 3.13, 1 Pm 3.17
Nd 0.2598 0.2598 0.0006  8 Pm 3.41-3.65
Nd 0.7402 0.7402 0.9994  8 Pm 3.41-3.65
Ho 0.2144 0.7856 0.5000  3 Ho 3.30-3.60, 6 Pm 3.47-3.57
Ho 0.5000 0.5000 0.0000  4 Pm 3.13
Ho 0.7856 0.2144 0.5000  3 Ho 3.30-3.60, 6 Pm 3.47-3.57

Properties
Size of the total moment   0.00 μB/f.u.
ΔE to the lowest computed polymorph   0.191 eV/atom
Calculated formation energy   2.71 eV per formula unit



Entry 4:
Pm6Nd2Ho5: relaxed, PBE.

Lattice parameters (Å, degrees): 11.8062 20.4785 3.6378 90.00 90.00 90.00
Last column: nearest neighbours and their distance in Å.
Element x y z (fractional)
Pm 0.0593 0.0776 0.0000  5 Pm 3.47-3.75, 6 Ho 3.51-3.66, 1 Nd 3.88
Pm 0.0801 0.3653 0.0000  1 Nd 3.41, 6 Ho 3.44-3.57, 4 Pm 3.54-3.64
Pm 0.1767 0.6276 0.5000  2 Ho 3.34, 4 Pm 3.54-3.64, 2 Nd 3.70
Pm 0.3233 0.1276 0.5000  2 Ho 3.34, 4 Pm 3.54-3.64, 2 Nd 3.70
Pm 0.4199 0.8653 0.0000  1 Nd 3.41, 6 Ho 3.44-3.57, 4 Pm 3.54-3.64
Pm 0.4407 0.5776 0.0000  5 Pm 3.47-3.75, 6 Ho 3.51-3.66, 1 Nd 3.88
Pm 0.5593 0.4224 0.0000  5 Pm 3.47-3.75, 6 Ho 3.51-3.66, 1 Nd 3.88
Pm 0.5801 0.1347 0.0000  1 Nd 3.41, 6 Ho 3.44-3.57, 4 Pm 3.54-3.64
Pm 0.6767 0.8724 0.5000  2 Ho 3.34, 4 Pm 3.54-3.64, 2 Nd 3.70
Pm 0.8233 0.3724 0.5000  2 Ho 3.34, 4 Pm 3.54-3.64, 2 Nd 3.70
Pm 0.9199 0.6347 0.0000  1 Nd 3.41, 6 Ho 3.44-3.57, 4 Pm 3.54-3.64
Pm 0.9407 0.9224 0.0000  5 Pm 3.47-3.75, 6 Ho 3.51-3.66, 1 Nd 3.88
Nd 0.1666 0.7849 0.0000  3 Pm 3.41-3.70, 6 Ho 3.57-3.77, 2 Nd 3.64
Nd 0.3334 0.2849 0.0000  3 Pm 3.41-3.70, 6 Ho 3.57-3.77, 2 Nd 3.64
Nd 0.6666 0.7151 0.0000  3 Pm 3.41-3.70, 6 Ho 3.57-3.77, 2 Nd 3.64
Nd 0.8334 0.2151 0.0000  3 Pm 3.41-3.70, 6 Ho 3.57-3.77, 2 Nd 3.64
Ho 0.0000 0.5000 0.5000  6 Pm 3.34-3.44, 4 Ho 3.64-3.73
Ho 0.0937 0.2227 0.5000  5 Pm 3.34-3.51, 4 Nd 3.57-3.60, 2 Ho 3.64
Ho 0.1991 0.9452 0.5000  6 Pm 3.57-3.66, 3 Ho 3.64-3.73, 2 Nd 3.77
Ho 0.3009 0.4452 0.5000  6 Pm 3.57-3.66, 3 Ho 3.64-3.73, 2 Nd 3.77
Ho 0.4063 0.7227 0.5000  5 Pm 3.34-3.51, 4 Nd 3.57-3.60, 2 Ho 3.64
Ho 0.5000 0.0000 0.5000  6 Pm 3.34-3.44, 4 Ho 3.64-3.73
Ho 0.5937 0.2773 0.5000  5 Pm 3.34-3.51, 4 Nd 3.57-3.60, 2 Ho 3.64
Ho 0.6991 0.5548 0.5000  6 Pm 3.57-3.66, 3 Ho 3.64-3.73, 2 Nd 3.77
Ho 0.8009 0.0548 0.5000  6 Pm 3.57-3.66, 3 Ho 3.64-3.73, 2 Nd 3.77
Ho 0.9063 0.7773 0.5000  5 Pm 3.34-3.51, 4 Nd 3.57-3.60, 2 Ho 3.64

Properties
Size of the total moment   0.00 μB/f.u.
Calculated formation energy   1.30 eV per formula unit



Entry 5:
Pm4NdHo8: relaxed, PBE.

Lattice parameters (Å, degrees): 9.9475 9.9475 9.9475 43.58 43.58 43.58
Last column: nearest neighbours and their distance in Å.
Element x y z (fractional)
Pm 0.0000 0.0000 0.0000  6 Ho 3.37, 6 Pm 3.69
Pm 0.0000 0.5000 0.5000  6 Ho 3.61-3.76, 6 Pm 3.69
Pm 0.5000 0.0000 0.5000  6 Ho 3.61-3.76, 6 Pm 3.69
Pm 0.5000 0.5000 0.0000  6 Ho 3.61-3.76, 6 Pm 3.69
Nd 0.5000 0.5000 0.5000  6 Ho 2.93
Ho 0.1885 0.7497 0.7497  1 Nd 2.93, 2 Ho 3.24
Ho 0.2187 0.2187 0.2187  9 Ho 3.61-3.71, 3 Pm 3.76
Ho 0.2503 0.2503 0.8115  1 Nd 2.93, 2 Ho 3.24
Ho 0.2503 0.8115 0.2503  1 Nd 2.93, 2 Ho 3.24
Ho 0.7497 0.1885 0.7497  1 Nd 2.93, 2 Ho 3.24
Ho 0.7497 0.7497 0.1885  1 Nd 2.93, 2 Ho 3.24
Ho 0.7813 0.7813 0.7813  9 Ho 3.61-3.71, 3 Pm 3.76
Ho 0.8115 0.2503 0.2503  1 Nd 2.93, 2 Ho 3.24

Properties
Size of the total moment   0.00 μB/f.u.
Calculated formation energy   2.52 eV per formula unit



Entry 6:
Pm3Nd2Ho: relaxed, PBE.

Lattice parameters (Å, degrees): 9.2603 9.2603 6.6716 102.61 102.61 21.72
Last column: nearest neighbours and their distance in Å.
Element x y z (fractional)
Pm 0.0000 0.0000 0.0000  2 Ho 3.34, 4 Pm 3.47-3.49, 4 Nd 3.74
Pm 0.1703 0.1703 0.3595  1 Ho 3.43, 5 Pm 3.47-3.54, 5 Nd 3.64-3.80
Pm 0.8297 0.8297 0.6405  1 Ho 3.43, 5 Pm 3.47-3.54, 5 Nd 3.64-3.80
Nd 0.3390 0.3390 0.1514  4 Nd 3.49-3.83, 7 Pm 3.64-3.80, 2 Ho 3.74
Nd 0.6610 0.6610 0.8486  4 Nd 3.49-3.83, 7 Pm 3.64-3.80, 2 Ho 3.74
Ho 0.0000 0.0000 0.5000  4 Pm 3.34-3.43, 2 Ho 3.49

Properties
Size of the total moment   0.00 μB/f.u.
ΔE to the lowest computed polymorph   0.000 eV/atom
Calculated formation energy   0.88 eV per formula unit



Entry 7:
Pm2Nd4Ho5: relaxed, PBE.

Lattice parameters (Å, degrees): 10.0992 10.0992 6.6180 91.29 91.29 32.97
Last column: nearest neighbours and their distance in Å.
Element x y z (fractional)
Pm 0.0984 0.0984 0.0528  6 Ho 3.56-3.74, 6 Nd 3.67-3.91, 1 Pm 3.86
Pm 0.9016 0.9016 0.9472  6 Ho 3.56-3.74, 6 Nd 3.67-3.91, 1 Pm 3.86
Nd 0.1952 0.1952 0.5777  6 Ho 3.35-3.70, 1 Pm 3.70, 2 Nd 3.72
Nd 0.4772 0.4772 0.2199  1 Nd 3.06, 2 Ho 3.17-3.37
Nd 0.5228 0.5228 0.7801  1 Nd 3.06, 2 Ho 3.17-3.37
Nd 0.8048 0.8048 0.4223  6 Ho 3.35-3.70, 1 Pm 3.70, 2 Nd 3.72
Ho 0.0000 0.0000 0.5000  6 Nd 3.44-3.80, 2 Pm 3.56
Ho 0.2902 0.2902 0.0998  4 Ho 3.50-3.67, 5 Nd 3.58-3.88, 3 Pm 3.72-3.74
Ho 0.3685 0.3685 0.6104  5 Nd 3.17-3.37
Ho 0.6315 0.6315 0.3896  5 Nd 3.17-3.37
Ho 0.7098 0.7098 0.9002  4 Ho 3.50-3.67, 5 Nd 3.58-3.88, 3 Pm 3.72-3.74

Properties
Size of the total moment   0.00 μB/f.u.
ΔE to the lowest computed polymorph   0.000 eV/atom
Calculated formation energy   1.14 eV per formula unit



Entry 8:
Pm2Nd4Ho: relaxed, PBE.

Lattice parameters (Å, degrees): 7.1756 8.7892 9.0558 114.29 101.44 101.82
Last column: nearest neighbours and their distance in Å.
Element x y z (fractional)
Pm 0.0000 0.0000 0.0000  5 Nd 3.25-3.60, 2 Pm 3.42-3.60
Pm 0.0297 0.8308 0.2794  3 Pm 3.42-3.72, 3 Ho 3.57-3.65, 4 Nd 3.60-3.72
Pm 0.1149 0.5934 0.8643  6 Nd 3.42-3.71, 2 Pm 3.60-3.72, 2 Ho 3.69-3.72
Pm 0.6410 0.4235 0.1434  5 Nd 3.24-3.60, 1 Ho 3.61, 1 Pm 3.61
Nd 0.1437 0.4242 0.1443  5 Pm 3.25-3.60, 2 Ho 3.41-3.59
Nd 0.2192 0.1488 0.7253  8 Nd 3.57-3.86, 4 Pm 3.60-3.86, 1 Ho 3.78
Nd 0.4219 0.2727 0.4171  8 Nd 3.58-3.82, 3 Pm 3.71-3.84, 2 Ho 3.82-3.84
Nd 0.4985 0.0005 0.0002  4 Pm 3.24-3.60, 2 Ho 3.42-3.44, 1 Nd 3.58
Nd 0.6130 0.5956 0.8666  5 Pm 3.41-3.72, 3 Nd 3.58-3.71, 2 Ho 3.69-3.71
Nd 0.7175 0.1509 0.7264  8 Nd 3.57-3.87, 2 Ho 3.60-3.79, 3 Pm 3.72-3.86
Nd 0.8193 0.7136 0.5690  4 Pm 3.41-3.71, 3 Ho 3.58-3.64, 3 Nd 3.71-3.79
Nd 0.9221 0.2693 0.4147  7 Nd 3.58-3.85, 4 Pm 3.64-3.83, 2 Ho 3.83
Ho 0.3206 0.7130 0.5698  7 Nd 3.41-3.79, 2 Pm 3.65-3.69, 1 Ho 3.65
Ho 0.5269 0.8312 0.2802  6 Nd 3.42-3.83, 4 Pm 3.57-3.72, 1 Ho 3.65

Properties
Size of the total moment   0.00 μB/f.u.
ΔE to the lowest computed polymorph   0.000 eV/atom
Calculated formation energy   0.31 eV per formula unit



Entry 9:
Pm2Nd2Ho: relaxed, PBE.

Lattice parameters (Å, degrees): 9.4104 6.3674 12.5074 90.00 113.50 90.00
Last column: nearest neighbours and their distance in Å.
Element x y z (fractional)
Pm 0.1520 0.1664 0.1013  6 Nd 3.59-3.68, 2 Ho 3.62-3.69, 4 Pm 3.65-3.70
Pm 0.1520 0.3336 0.6013  6 Nd 3.59-3.68, 2 Ho 3.62-3.69, 4 Pm 3.65-3.70
Pm 0.2529 0.6679 0.9994  3 Ho 3.59-3.69, 6 Nd 3.61-3.71, 3 Pm 3.66-3.70
Pm 0.2529 0.8321 0.4994  3 Ho 3.59-3.69, 6 Nd 3.61-3.71, 3 Pm 3.66-3.70
Pm 0.7471 0.1679 0.5006  3 Ho 3.59-3.69, 6 Nd 3.61-3.71, 3 Pm 3.66-3.70
Pm 0.7471 0.3321 0.0006  3 Ho 3.59-3.69, 6 Nd 3.61-3.71, 3 Pm 3.66-3.70
Pm 0.8480 0.6664 0.3987  6 Nd 3.59-3.68, 2 Ho 3.62-3.69, 4 Pm 3.65-3.70
Pm 0.8480 0.8336 0.8987  6 Nd 3.59-3.68, 2 Ho 3.62-3.69, 4 Pm 3.65-3.70
Nd 0.0486 0.6664 0.1989  7 Pm 3.62-3.71, 2 Ho 3.62-3.63, 3 Nd 3.63-3.68
Nd 0.0486 0.8336 0.6989  7 Pm 3.62-3.71, 2 Ho 3.62-3.63, 3 Nd 3.63-3.68
Nd 0.4509 0.6687 0.8020  5 Pm 3.59-3.64, 4 Ho 3.60-3.69, 3 Nd 3.63-3.69
Nd 0.4509 0.8313 0.3020  5 Pm 3.59-3.64, 4 Ho 3.60-3.69, 3 Nd 3.63-3.69
Nd 0.5491 0.1687 0.6980  5 Pm 3.59-3.64, 4 Ho 3.60-3.69, 3 Nd 3.63-3.69
Nd 0.5491 0.3313 0.1980  5 Pm 3.59-3.64, 4 Ho 3.60-3.69, 3 Nd 3.63-3.69
Nd 0.9514 0.1664 0.3011  7 Pm 3.62-3.71, 2 Ho 3.62-3.63, 3 Nd 3.63-3.68
Nd 0.9514 0.3336 0.8011  7 Pm 3.62-3.71, 2 Ho 3.62-3.63, 3 Nd 3.63-3.68
Ho 0.3511 0.1640 0.9004  1 Ho 3.59, 5 Pm 3.59-3.69, 6 Nd 3.60-3.69
Ho 0.3511 0.3360 0.4004  1 Ho 3.59, 5 Pm 3.59-3.69, 6 Nd 3.60-3.69
Ho 0.6489 0.6640 0.5996  1 Ho 3.59, 5 Pm 3.59-3.69, 6 Nd 3.60-3.69
Ho 0.6489 0.8360 0.0996  1 Ho 3.59, 5 Pm 3.59-3.69, 6 Nd 3.60-3.69

Properties
Size of the total moment   0.00 μB/f.u.
ΔE to the lowest computed polymorph   0.000 eV/atom
Calculated formation energy   0.14 eV per formula unit



Entry 10:
Pm5Nd12Ho2: relaxed, PBE.

Lattice parameters (Å, degrees): 10.0590 10.0590 10.5636 110.07 110.07 42.11
Last column: nearest neighbours and their distance in Å.
Element x y z (fractional)
Pm 0.0000 0.0000 0.0000  2 Nd 2.91
Pm 0.1846 0.1846 0.6845  5 Nd 3.29-3.67, 2 Pm 3.63
Pm 0.3265 0.3265 0.2921  2 Ho 3.57, 2 Pm 3.63, 9 Nd 3.76-3.95
Pm 0.6735 0.6735 0.7079  2 Ho 3.57, 2 Pm 3.63, 9 Nd 3.76-3.95
Pm 0.8154 0.8154 0.3155  5 Nd 3.29-3.67, 2 Pm 3.63
Nd 0.0241 0.0241 0.7427  1 Pm 2.91, 2 Ho 3.16
Nd 0.0846 0.5820 0.9771  6 Nd 3.34-3.69, 1 Pm 3.55
Nd 0.0874 0.5921 0.6320  6 Nd 3.48-3.69, 2 Pm 3.65-3.67, 1 Ho 3.76
Nd 0.4079 0.9126 0.3680  6 Nd 3.48-3.69, 2 Pm 3.65-3.67, 1 Ho 3.76
Nd 0.4180 0.9154 0.0229  6 Nd 3.34-3.69, 1 Pm 3.55
Nd 0.4981 0.4981 0.1789  7 Nd 3.48-3.81, 2 Ho 3.74, 1 Pm 3.83
Nd 0.5019 0.5019 0.8211  7 Nd 3.48-3.81, 2 Ho 3.74, 1 Pm 3.83
Nd 0.5820 0.0846 0.9771  6 Nd 3.34-3.69, 1 Pm 3.55
Nd 0.5921 0.0874 0.6320  6 Nd 3.48-3.69, 2 Pm 3.65-3.67, 1 Ho 3.76
Nd 0.9126 0.4079 0.3680  6 Nd 3.48-3.69, 2 Pm 3.65-3.67, 1 Ho 3.76
Nd 0.9154 0.4180 0.0229  6 Nd 3.34-3.69, 1 Pm 3.55
Nd 0.9759 0.9759 0.2573  1 Pm 2.91, 2 Ho 3.16
Ho 0.2785 0.7215 0.5000  2 Nd 3.16, 1 Ho 3.20
Ho 0.7215 0.2785 0.5000  2 Nd 3.16, 1 Ho 3.20

Properties
Size of the total moment   0.00 μB/f.u.
ΔE to the lowest computed polymorph   0.035 eV/atom
Calculated formation energy   3.15 eV per formula unit



Entry 11:
Pm2Nd3Ho5: relaxed, PBE.

Lattice parameters (Å, degrees): 12.4346 12.4346 12.4346 135.28 56.02 148.04
Last column: nearest neighbours and their distance in Å.
Element x y z (fractional)
Pm 0.1270 0.1002 0.2272  1 Ho 2.95
Pm 0.3730 0.6002 0.9732  1 Ho 2.95
Pm 0.6270 0.3998 0.0268  1 Ho 2.95
Pm 0.8730 0.8998 0.7728  1 Ho 2.95
Nd 0.1324 0.7477 0.8801  1 Ho 3.18, 1 Pm 3.34
Nd 0.2500 0.2500 0.0000  4 Pm 3.41, 2 Nd 3.42
Nd 0.3676 0.2477 0.6153  1 Ho 3.18, 1 Pm 3.34
Nd 0.6324 0.7523 0.3847  1 Ho 3.18, 1 Pm 3.34
Nd 0.7500 0.7500 0.0000  4 Pm 3.41, 2 Nd 3.42
Nd 0.8676 0.2523 0.1199  1 Ho 3.18, 1 Pm 3.34
Ho 0.0017 0.7500 0.2517  4 Ho 3.32-3.42, 2 Pm 3.37
Ho 0.1246 0.4119 0.5365  1 Pm 2.95, 1 Nd 3.18
Ho 0.2500 0.7500 0.5000  6 Ho 3.33-3.42
Ho 0.3754 0.9119 0.2873  1 Pm 2.95, 1 Nd 3.18
Ho 0.4983 0.7500 0.7483  4 Ho 3.32-3.42, 2 Pm 3.37
Ho 0.5017 0.2500 0.2517  4 Ho 3.32-3.42, 2 Pm 3.37
Ho 0.6246 0.0881 0.7127  1 Pm 2.95, 1 Nd 3.18
Ho 0.7500 0.2500 0.5000  6 Ho 3.33-3.42
Ho 0.8754 0.5881 0.4635  1 Pm 2.95, 1 Nd 3.18
Ho 0.9983 0.2500 0.7483  4 Ho 3.32-3.42, 2 Pm 3.37

Properties
Size of the total moment   0.00 μB/f.u.
ΔE to the lowest computed polymorph   0.203 eV/atom
Calculated formation energy   3.85 eV per formula unit



Entry 12:
Pm8Nd3Ho2: relaxed, PBE.

Lattice parameters (Å, degrees): 10.9278 10.9278 5.7938 90.03 90.03 41.53
Last column: nearest neighbours and their distance in Å.
Element x y z (fractional)
Pm 0.1002 0.6836 0.9996  1 Nd 3.16, 1 Pm 3.23, 2 Ho 3.47-3.54
Pm 0.1742 0.1742 0.5012  2 Ho 3.37, 4 Pm 3.58
Pm 0.3164 0.8998 0.0004  1 Nd 3.16, 1 Pm 3.23, 2 Ho 3.47-3.54
Pm 0.3648 0.3648 0.5003  2 Nd 3.56, 2 Ho 3.61-3.62, 7 Pm 3.71-3.96
Pm 0.6352 0.6352 0.4997  2 Nd 3.56, 2 Ho 3.61-3.62, 7 Pm 3.71-3.96
Pm 0.6836 0.1002 0.9996  1 Nd 3.16, 1 Pm 3.23, 2 Ho 3.47-3.54
Pm 0.8258 0.8258 0.4988  2 Ho 3.37, 4 Pm 3.58
Pm 0.8998 0.3164 0.0004  1 Nd 3.16, 1 Pm 3.23, 2 Ho 3.47-3.54
Nd 0.2110 0.7890 0.5000  3 Nd 3.27-3.66, 6 Pm 3.56-3.64
Nd 0.5000 0.5000 0.0000  4 Pm 3.16
Nd 0.7890 0.2110 0.5000  3 Nd 3.27-3.66, 6 Pm 3.56-3.64
Ho 0.2586 0.2586 0.0013  8 Pm 3.37-3.62
Ho 0.7414 0.7414 0.9987  8 Pm 3.37-3.62

Properties
Size of the total moment   0.00 μB/f.u.
ΔE to the lowest computed polymorph   0.063 eV/atom
Calculated formation energy   2.83 eV per formula unit